VASP calculation (PBE) on a relaxed Bi3Pd8 crystal.

a b c (Å): 15.106 15.106 15.106
angles (deg): 30.46 30.46 30.46
Element x y z (fractional)
Pd 0.382 0.090 0.709
Bi 0.639 0.335 0.008
Pd 0.882 0.492 0.209
Bi 0.137 0.510 0.835
Pd 0.992 0.385 0.707
Pd 0.209 0.882 0.492
Bi 0.730 0.730 0.730
Pd 0.565 0.289 0.932
Pd 0.787 0.064 0.434
Bi 0.426 0.426 0.426
Bi 0.835 0.137 0.510
Bi 0.510 0.835 0.137
Pd 0.207 0.590 0.885
Bi 0.926 0.926 0.926
Pd 0.289 0.932 0.565
Pd 0.064 0.434 0.787
Pd 0.762 0.457 0.163
Pd 0.163 0.762 0.457
Pd 0.664 0.957 0.261
Pd 0.007 0.007 0.007
Pd 0.090 0.709 0.382
Bi 0.572 0.572 0.572
Bi 0.074 0.074 0.074
Pd 0.505 0.505 0.505
Pd 0.141 0.141 0.141
Pd 0.709 0.382 0.090
Pd 0.293 0.293 0.293
Pd 0.492 0.209 0.882
Pd 0.457 0.163 0.762
Bi 0.335 0.008 0.639
Pd 0.639 0.639 0.639
Pd 0.261 0.664 0.957
Pd 0.590 0.885 0.207
Bi 0.008 0.639 0.335
Pd 0.707 0.992 0.385
Pd 0.885 0.207 0.590
Pd 0.385 0.707 0.992
Pd 0.932 0.565 0.289
Bi 0.229 0.229 0.229
Pd 0.793 0.793 0.793
Pd 0.861 0.861 0.861
Pd 0.957 0.261 0.664
Pd 0.361 0.361 0.361
Pd 0.434 0.787 0.064

Values from the calculation:
The total DFT energy (no corrections) is -5.1220 eV/atom. The space group is No. 146.